The following is a DFT calculation (GGA-PBE) of a relaxed structure of LaY8Ho2.

As for the formation energy: 0.116 eV/atom. The value obtained for the density of states at the Fermi level is 34.572 states/eV/cell. For the energy above the most stable polymorph in this dataset, the calculation gives 0.0 meV/atom. The total DFT energy (no corrections) comes out at -5.865 eV/atom.

It has space group Immm (No. 71), with a = 5.514 Å, b = 8.193 Å, c = 16.127 Å, α = 90.00°, β = 90.00° and γ = 90.00°. The asymmetric unit holds La at (0.000, 0.000, 0.000), Y at (0.000, 0.204, 0.500), Y at (0.000, 0.293, 0.142), Y at (0.000, 0.500, 0.336) and Ho at (0.000, 0.000, 0.301).